Density functional theory data (PBE) for an optimized crystal structure of MgTl6Pb12.

The space group is R-3 (No. 148, hexagonal axes) and the conventional cell measures 14.3009, 14.3009 and 10.4879 Å, with angles of 90.00, 90.00 and 120.00 degrees. Symmetry generates all atoms from Mg at (0.0000, 0.0000, 0.0000), Tl at (0.0544, 0.8294, 0.7520), Pb at (0.0557, 0.8192, 0.0879) and Pb at (0.0572, 0.8289, 0.4159).

As for the crystal system: trigonal. As for the magnetization: 0.000 μB per atom. Its formation energy from the elements is 114 kJ/mol of formula units.